DFT (GGA-PBE) results for a geometry-optimized Li2Mg2Cd2Pb structure.

Properties
Mass density   5.5 Mg/m³
Calculated volume   150.2 Å³ per cell
Formation energy from the elements   -3.78 kcal/mol of atoms
Energy   -1.958 eV per atom

a = 4.097 Å, b = 5.350 Å, c = 7.442 Å
α = 94.30°, β = 90.00°, γ = 112.51°
Element x y z (fractional)
Cd (0.856, 0.712, 0.558)
Cd (0.144, 0.288, 0.442)
Mg (0.718, 0.436, 0.162)
Mg (0.282, 0.564, 0.838)
Pb (0.000, 0.000, 0.000)
Li (0.436, 0.871, 0.299)
Li (0.564, 0.129, 0.701)